A geometry-optimized RbZr5Te8 structure, computed with PBE-GGA.

a = 10.791 Å, b = 10.791 Å, c = 10.260 Å
α = 104.23°, β = 104.23°, γ = 21.27°
Fractional positions:
1 Rb 0.000 0.000 0.000
2 Zr 0.150 0.150 0.504
3 Zr 0.209 0.209 0.851
4 Zr 0.500 0.500 0.500
5 Zr 0.791 0.791 0.149
6 Zr 0.850 0.850 0.496
7 Te 0.071 0.071 0.690
8 Te 0.255 0.255 0.338
9 Te 0.343 0.343 0.996
10 Te 0.414 0.414 0.687
11 Te 0.586 0.586 0.313
12 Te 0.657 0.657 0.004
13 Te 0.745 0.745 0.662
14 Te 0.929 0.929 0.310

Output
Its symmetry is C2/m, No. 12. For the energy, the calculation gives -0.4313 Ry/atom. The calculation puts the density at 6182 kg/m³.


A geometry-optimized MgInTcW structure, computed with PBE-GGA.

a = 4.598 Å, b = 4.598 Å, c = 4.598 Å
α = 60.00°, β = 60.00°, γ = 60.00°
Fractional positions:
1 Mg 0.000 0.000 0.000
2 In 0.500 0.500 0.500
3 Tc 0.250 0.250 0.250
4 W 0.750 0.750 0.750

Output
Its symmetry is F-43m, No. 216. For the energy, the calculation gives -0.4527 Ry/atom. The calculation puts the density at 10168 kg/m³.


A geometry-optimized HoTmBPb structure, computed with PBE-GGA.

a = 3.659 Å, b = 3.659 Å, c = 16.532 Å
α = 90.00°, β = 90.00°, γ = 120.00°
Fractional positions:
1 Ho 0.000 0.000 0.162
2 Ho 0.000 0.000 0.838
3 Tm 0.333 0.667 0.339
4 Tm 0.333 0.667 0.661
5 B 0.667 0.333 0.251
6 B 0.667 0.333 0.749
7 Pb 0.000 0.000 0.500
8 Pb 0.333 0.667 0.000

Output
Its symmetry is P-6m2, No. 187. For the energy, the calculation gives -0.3733 Ry/atom. The calculation puts the density at 9559 kg/m³.


A geometry-optimized LiLaSbIr structure, computed with PBE-GGA.

a = 5.015 Å, b = 5.015 Å, c = 5.015 Å
α = 60.00°, β = 60.00°, γ = 60.00°
Fractional positions:
1 Li 0.000 0.000 0.000
2 La 0.500 0.500 0.500
3 Sb 0.750 0.750 0.750
4 Ir 0.250 0.250 0.250

Output
Its symmetry is F-43m, No. 216. For the energy, the calculation gives -0.3869 Ry/atom. The calculation puts the density at 8561 kg/m³.


A geometry-optimized TcB2Pd structure, computed with PBE-GGA.

a = 4.007 Å, b = 4.007 Å, c = 4.007 Å
α = 60.00°, β = 60.00°, γ = 60.00°
Fractional positions:
1 Tc 0.000 0.000 0.000
2 B 0.500 0.500 0.500
3 B 0.750 0.750 0.750
4 Pd 0.250 0.250 0.250

Output
Its symmetry is F-43m, No. 216. For the energy, the calculation gives -0.4449 Ry/atom. The calculation puts the density at 8253 kg/m³.


A geometry-optimized TmLu2Sn4Pd4 structure, computed with PBE-GGA.

a = 8.444 Å, b = 8.444 Å, c = 8.444 Å
α = 150.15°, β = 128.14°, γ = 60.99°
Fractional positions:
1 Tm 0.000 0.000 0.000
2 Lu 0.370 0.870 0.500
3 Lu 0.630 0.130 0.500
4 Sn 0.214 0.214 0.000
5 Sn 0.303 0.500 0.803
6 Sn 0.697 0.500 0.197
7 Sn 0.786 0.786 0.000
8 Pd 0.026 0.322 0.704
9 Pd 0.382 0.678 0.704
10 Pd 0.618 0.322 0.296
11 Pd 0.974 0.678 0.296

Output
Its symmetry is Immm, No. 71. For the energy, the calculation gives -0.3924 Ry/atom. The calculation puts the density at 10086 kg/m³.


A geometry-optimized RbAgGeTeSe2 structure, computed with PBE-GGA.

a = 8.568 Å, b = 8.568 Å, c = 11.343 Å
α = 90.00°, β = 90.00°, γ = 154.88°
Fractional positions:
1 Rb 0.244 0.756 0.750
2 Rb 0.756 0.244 0.250
3 Ag 0.077 0.923 0.250
4 Ag 0.923 0.077 0.750
5 Ge 0.500 0.500 0.000
6 Ge 0.500 0.500 0.500
7 Te 0.446 0.554 0.250
8 Te 0.554 0.446 0.750
9 Se 0.113 0.887 0.030
10 Se 0.113 0.887 0.470
11 Se 0.887 0.113 0.530
12 Se 0.887 0.113 0.970

Output
Its symmetry is Cmcm, No. 63. For the energy, the calculation gives -0.2497 Ry/atom. The calculation puts the density at 5181 kg/m³.


A geometry-optimized TaAlCoAg structure, computed with PBE-GGA.

a = 4.416 Å, b = 4.416 Å, c = 4.416 Å
α = 60.00°, β = 60.00°, γ = 60.00°
Fractional positions:
1 Ta 0.000 0.000 0.000
2 Al 0.250 0.250 0.250
3 Co 0.500 0.500 0.500
4 Ag 0.750 0.750 0.750

Output
Its symmetry is F-43m, No. 216. For the energy, the calculation gives -0.4493 Ry/atom. The calculation puts the density at 10216 kg/m³.